Entry 1:
Crystalline ThBi2As2Rh7 at its relaxed geometry. Source: the Alexandria database, functional PBE-GGA.

Cell lengths 4.0508, 4.0508, 14.2290 Å; angles 84.31, 84.31, 90.02 degrees
Element x y z (fractional)
Th1 0.0000 0.0000 0.0000
Bi1 0.8809 0.8809 0.3929
Bi2 0.1191 0.1191 0.6071
As1 0.5859 0.5859 0.7511
As2 0.4141 0.4141 0.2489
Rh1 0.5000 0.5000 0.0000
Rh2 0.3726 0.3726 0.4247
Rh3 0.6274 0.6274 0.5753
Rh4 0.9473 0.4475 0.1533
Rh5 0.4475 0.9473 0.1533
Rh6 0.5525 0.0527 0.8467
Rh7 0.0527 0.5525 0.8467

Crystal system: monoclinic
V in Å³/cell: 231.2



Entry 2:
Crystalline Tm4NbRu5 at its relaxed geometry. Source: the Alexandria database, functional PBE-GGA.

Cell lengths 3.3006, 3.3006, 16.7545 Å; angles 90.00, 90.00, 90.00 degrees
Element x y z (fractional)
Tm1 0.0000 0.0000 0.1997
Tm2 0.0000 0.0000 0.3993
Tm3 0.0000 0.0000 0.6007
Tm4 0.0000 0.0000 0.8003
Nb1 0.0000 0.0000 0.0000
Ru1 0.5000 0.5000 0.0884
Ru2 0.5000 0.5000 0.2962
Ru3 0.5000 0.5000 0.5000
Ru4 0.5000 0.5000 0.7038
Ru5 0.5000 0.5000 0.9116

Crystal system: tetragonal
V in Å³/cell: 182.5



What did we get for ΔH_f (0 K)? Answer: -4.48, -4.31 eV/f.u., in the order shown.